Record 1
# AcLaCu | Alexandria via LeMat-Bulk | PBE | relaxed
# polymorph energy (0 for the lowest one)	0	meV/atom
# crystal system	orthorhombic
# electronic total energy	-4.44	eV per atom
# energy of formation from the pure elements	-0.063	eV per atom
data_AcLaCu
_chemical_formula_sum 'Ac8 La8 Cu8'
_space_group_name_H-M_alt 'C m c e'
_space_group_IT_number 64
_space_group_name_Hall '-C 2ac 2'
_cell_length_a 7.424
_cell_length_b 14.056
_cell_length_c 7.551
_cell_angle_alpha 90.00
_cell_angle_beta 90.00
_cell_angle_gamma 90.00
loop_
_atom_site_label
_atom_site_type_symbol
_atom_site_fract_x
_atom_site_fract_y
_atom_site_fract_z
_atom_site_occupancy
Ac1 Ac 0.000 0.202 0.098 1
La1 La 0.250 0.034 0.750 1
Cu1 Cu 0.000 0.094 0.454 1

Record 2
# Li2TcSb | Alexandria via LeMat-Bulk | PBE | relaxed
# crystal system	orthorhombic
# E_form (uncorrected)	24.0	kJ/mol of atoms
# electronic total energy	-4.33	eV per atom
data_Li2TcSb
_chemical_formula_sum 'Li4 Tc2 Sb2'
_space_group_name_H-M_alt 'C m m m'
_space_group_IT_number 65
_space_group_name_Hall '-C 2 2'
_cell_length_a 3.671
_cell_length_b 4.235
_cell_length_c 9.017
_cell_angle_alpha 90.00
_cell_angle_beta 90.00
_cell_angle_gamma 90.00
loop_
_atom_site_label
_atom_site_type_symbol
_atom_site_fract_x
_atom_site_fract_y
_atom_site_fract_z
_atom_site_occupancy
Li1 Li 0.000 0.000 0.234 1
Tc1 Tc 0.000 0.500 0.000 1
Sb1 Sb 0.000 0.500 0.500 1

Record 3
# Ni4Mo | Alexandria via LeMat-Bulk | PBE | relaxed
# polymorph energy (0 for the lowest one)	406	meV/atom
# crystal system	tetragonal
# electronic total energy	-6.47	eV per atom
# energy of formation from the pure elements	0.322	eV per atom
data_Ni4Mo
_chemical_formula_sum 'Ni8 Mo2'
_space_group_name_H-M_alt 'I 4/m m m'
_space_group_IT_number 139
_space_group_name_Hall '-I 4 2'
_cell_length_a 3.327
_cell_length_b 3.327
_cell_length_c 11.240
_cell_angle_alpha 90.00
_cell_angle_beta 90.00
_cell_angle_gamma 90.00
loop_
_atom_site_label
_atom_site_type_symbol
_atom_site_fract_x
_atom_site_fract_y
_atom_site_fract_z
_atom_site_occupancy
Ni1 Ni 0.000 0.000 0.101 1
Ni2 Ni 0.000 0.500 0.250 1
Mo1 Mo 0.000 0.000 0.500 1